A plane-wave DFT calculation with PBE+U was carried out for an optimized crystal structure of Ni5SbO6.

a = 5.3191 Å, b = 9.2864 Å, c = 5.3764 Å
α = 90.00°, β = 108.14°, γ = 90.00°
Space group C2/m (No. 12)
One atom of each set of equivalent atoms:
1 Ni 0.0000 0.0000 0.0000 x2
2 Ni 0.0000 0.1656 0.5000 x4
3 Ni 0.0000 0.3303 0.0000 x4
4 Sb 0.0000 0.5000 0.5000 x2
5 O 0.2356 0.1711 0.2359 x8
6 O 0.2466 0.5000 0.2240 x4

## Properties
DOS(E_F) = 5.104 states/eV/f.u.
Total energy = -4.71 eV per atom
Total magnetization = 18.00 μB per cell

***

A plane-wave DFT calculation with PBE+U was carried out for an optimized crystal structure of NiSb2O6.

a = 4.7170 Å, b = 4.7170 Å, c = 9.3616 Å
α = 90.00°, β = 90.00°, γ = 90.00°
Space group P4_2/mnm (No. 136)
One atom of each set of equivalent atoms:
1 Ni 0.0000 0.0000 0.0000 x2
2 Sb 0.0000 0.0000 0.3323 x4
3 O 0.1905 0.1905 0.5000 x4
4 O 0.1971 0.1971 0.1708 x8

## Properties
Excess energy over the best structure of this formula in the dataset = 0 meV/atom
Total magnetization = 4.02 μB per cell

***

A plane-wave DFT calculation with PBE+U was carried out for an optimized crystal structure of Ni3SbO.

a = 4.8504 Å, b = 4.8504 Å, c = 4.8504 Å
α = 90.00°, β = 90.00°, γ = 90.00°
Space group Pm-3m (No. 221)
One atom of each set of equivalent atoms:
1 Ni 0.0000 0.0000 0.5000 x3
2 Sb 0.0000 0.0000 0.0000 x1
3 O 0.5000 0.5000 0.5000 x1

## Properties
DOS(E_F) = 5.331 states/eV/f.u.
Excess energy over the best structure of this formula in the dataset = 1172 meV/atom
Total magnetization = 5.00 μB per cell

***

A plane-wave DFT calculation with PBE+U was carried out for an optimized crystal structure of Ni3SbO6.

a = 9.4202 Å, b = 5.4670 Å, c = 4.9872 Å
α = 90.00°, β = 117.91°, γ = 90.00°
Space group C2/m (No. 12)
One atom of each set of equivalent atoms:
1 Ni 0.0000 0.0000 0.0000 x2
2 Ni 0.2447 0.5000 0.1490 x4
3 Sb 0.0000 0.5000 0.5000 x2
4 O 0.0891 0.2518 0.8332 x8
5 O 0.2239 0.5000 0.5235 x4

## Properties
DOS(E_F) = 3.153 states/eV/f.u.
Total energy = -5.15 eV per atom
Total magnetization = 13.15 μB per cell

***

A plane-wave DFT calculation with PBE+U was carried out for an optimized crystal structure of NiSbO.

a = 5.7678 Å, b = 5.8608 Å, c = 5.9469 Å
α = 72.55°, β = 77.85°, γ = 89.09°
Space group P1 (No. 1)
One atom of each set of equivalent atoms:
1 Ni 0.0000 0.0000 0.0000 x1
2 Ni 0.0886 0.4821 0.4698 x1
3 Ni 0.5835 0.9007 0.3459 x1
4 Ni 0.6766 0.5181 0.8461 x1
5 Sb 0.9998 0.0526 0.4198 x1
6 Sb 0.2146 0.6044 0.9200 x1
7 Sb 0.4892 0.0648 0.9180 x1
8 Sb 0.5451 0.3700 0.3508 x1
9 O 0.2323 0.7777 0.5388 x1
10 O 0.7400 0.5834 0.4833 x1
11 O 0.8049 0.8889 0.7821 x1
12 O 0.9984 0.3688 0.8384 x1

## Properties
DOS(E_F) = 0.814 states/eV/f.u.
Total energy = -4.20 eV per atom
Total magnetization = 4.30 μB per cell

***

A plane-wave DFT calculation with PBE+U was carried out for an optimized crystal structure of NiSbO3.

a = 3.7604 Å, b = 3.7604 Å, c = 3.7604 Å
α = 90.00°, β = 90.00°, γ = 90.00°
Space group Pm-3m (No. 221)
One atom of each set of equivalent atoms:
1 Ni 0.0000 0.0000 0.0000 x1
2 Sb 0.5000 0.5000 0.5000 x1
3 O 0.0000 0.0000 0.5000 x3

## Properties
DOS(E_F) = 0.597 states/eV/f.u.
Total energy = -4.94 eV per atom
Total magnetization = 1.00 μB per cell